*A*
Tm3Mg2Au3: relaxed, GGA-PBE.

Properties
**Density of states at the Fermi level**: 3.689 states/eV per cell
**V**: 180 Å³ per cell
**Calculated density**: 10.55 g cm⁻³
**Symmetry**: Immm, No. 71
**Total moment**: 0.00 μB per formula unit

Lattice parameters (Å, degrees): 3.4925 5.0656 10.6486 103.76 99.44 90.00
Last column: nearest neighbours and their distance in Å.
Fractional positions:
Tm (0.5000, 0.0000, 0.0000)  8 Au 3.08-3.09
Tm (0.6218, 0.6218, 0.2437)  6 Au 3.04-3.08
Tm (0.3782, 0.3782, 0.7563)  6 Au 3.04-3.08
Au (0.8752, 0.8752, 0.7504)  2 Mg 2.83, 6 Tm 3.08-3.09
Au (0.0000, 0.5000, 0.0000)  8 Tm 3.04-3.08
Au (0.1248, 0.1248, 0.2496)  2 Mg 2.83, 6 Tm 3.08-3.09
Mg (0.7342, 0.2342, 0.4685)  2 Au 2.83, 4 Mg 3.14
Mg (0.2658, 0.7658, 0.5315)  2 Au 2.83, 4 Mg 3.14

*B*
Tm3Mg2Au3: relaxed, GGA-PBE.

Properties
**Density of states at the Fermi level**: 12.758 states/eV per cell
**V**: 359 Å³ per cell
**Calculated density**: 10.60 g cm⁻³
**Symmetry**: P6_3/mcm, No. 193
**Total moment**: 0.00 μB per formula unit

Lattice parameters (Å, degrees): 5.7535 8.4900 8.4900 120.00 90.00 90.00
Last column: nearest neighbours and their distance in Å.
Fractional positions:
Tm (0.7500, 0.0000, 0.2602)  5 Au 2.92-3.08
Tm (0.2500, 0.2602, 0.2602)  5 Au 2.92-3.08
Tm (0.2500, 0.0000, 0.7398)  5 Au 2.92-3.08
Tm (0.7500, 0.2602, 0.0000)  5 Au 2.92-3.08
Tm (0.2500, 0.7398, 0.0000)  5 Au 2.92-3.08
Tm (0.7500, 0.7398, 0.7398)  5 Au 2.92-3.08
Au (0.2500, 0.3905, 0.0000)  5 Tm 2.92-3.08, 4 Mg 2.99
Au (0.2500, 0.0000, 0.3905)  5 Tm 2.92-3.08, 4 Mg 2.99
Au (0.7500, 0.3905, 0.3905)  5 Tm 2.92-3.08, 4 Mg 2.99
Au (0.7500, 0.6095, 0.0000)  5 Tm 2.92-3.08, 4 Mg 2.99
Au (0.7500, 0.0000, 0.6095)  5 Tm 2.92-3.08, 4 Mg 2.99
Au (0.2500, 0.6095, 0.6095)  5 Tm 2.92-3.08, 4 Mg 2.99
Mg (0.5000, 0.6667, 0.3333)  2 Mg 2.88, 6 Au 2.99
Mg (0.0000, 0.3333, 0.6667)  2 Mg 2.88, 6 Au 2.99
Mg (0.5000, 0.3333, 0.6667)  2 Mg 2.88, 6 Au 2.99
Mg (0.0000, 0.6667, 0.3333)  2 Mg 2.88, 6 Au 2.99

*B* is preferred energetically. Next in line: 0.089 eV/atom higher.

*A*
Tm2MgAu: relaxed, GGA-PBE.

Properties
**Density of states at the Fermi level**: 4.586 states/eV per cell
**V**: 95 Å³ per cell
**Calculated density**: 9.75 g cm⁻³
**Symmetry**: Fm-3m, No. 225
**Total moment**: 0.00 μB per formula unit

Lattice parameters (Å, degrees): 5.1259 5.1259 5.1259 60.00 60.00 60.00
Last column: nearest neighbours and their distance in Å.
Fractional positions:
Au (0.0000, 0.0000, 0.0000)  8 Tm 3.14
Tm (0.7500, 0.7500, 0.7500)  4 Au 3.14, 4 Mg 3.14
Tm (0.2500, 0.2500, 0.2500)  4 Mg 3.14, 4 Au 3.14
Mg (0.5000, 0.5000, 0.5000)  8 Tm 3.14

*B*
Tm2MgAu: relaxed, GGA-PBE.

Properties
**Density of states at the Fermi level**: 3.206 states/eV per cell
**V**: 96 Å³ per cell
**Calculated density**: 9.64 g cm⁻³
**Symmetry**: P4/mmm, No. 123
**Total moment**: 0.00 μB per formula unit

Lattice parameters (Å, degrees): 3.6610 3.6610 7.1834 90.00 90.00 90.00
Last column: nearest neighbours and their distance in Å.
Fractional positions:
Mg (0.5000, 0.5000, 0.5000)  8 Tm 3.22, 2 Au 3.59
Tm (0.0000, 0.0000, 0.7661)  4 Au 3.09, 4 Mg 3.22, 1 Tm 3.36
Tm (0.0000, 0.0000, 0.2339)  4 Au 3.09, 4 Mg 3.22, 1 Tm 3.36
Au (0.5000, 0.5000, 0.0000)  8 Tm 3.09

*B* is preferred energetically. Next in line: 0.056 eV/atom higher.

*A*
TmMgAu4: relaxed, GGA-PBE.

Properties
**Density of states at the Fermi level**: 2.117 states/eV per cell
**V**: 124 Å³ per cell
**Calculated density**: 13.13 g cm⁻³
**Symmetry**: Pm, No. 6
**Total moment**: 0.00 μB per formula unit

Lattice parameters (Å, degrees): 5.0770 3.6362 7.1973 90.00 90.01 69.10
Last column: nearest neighbours and their distance in Å.
Fractional positions:
Tm (0.1228, 0.8117, 0.9981)  10 Au 2.96-3.14
Au (0.5356, 0.1042, 0.1996)  4 Au 2.81-2.90, 2 Mg 2.91, 3 Tm 3.04-3.14
Au (0.9652, 0.3915, 0.6910)  4 Au 2.78-2.84, 2 Tm 2.96, 3 Mg 3.02-3.09
Au (0.9654, 0.3914, 0.3052)  4 Au 2.78-2.84, 2 Tm 2.96, 3 Mg 3.02-3.09
Au (0.5355, 0.1043, 0.7967)  4 Au 2.81-2.90, 2 Mg 2.90-2.91, 3 Tm 3.04-3.14
Mg (0.3834, 0.6806, 0.4983)  10 Au 2.90-3.09

*B*
TmMgAu4: relaxed, GGA-PBE.

Properties
**Density of states at the Fermi level**: 2.319 states/eV per cell
**V**: 117 Å³ per cell
**Calculated density**: 13.96 g cm⁻³
**Symmetry**: C2/m, No. 12
**Total moment**: 0.00 μB per formula unit

Lattice parameters (Å, degrees): 3.6385 5.1330 7.2625 101.06 75.49 69.24
Last column: nearest neighbours and their distance in Å.
Fractional positions:
Au (0.1777, 0.4838, 0.1609)  3 Mg 2.89-3.03, 5 Au 2.91-2.98, 2 Tm 2.98
Au (0.3427, 0.9936, 0.3209)  5 Au 2.91-3.09, 2 Mg 2.91, 3 Tm 2.98-3.01
Au (0.8223, 0.5162, 0.8391)  3 Mg 2.89-3.03, 5 Au 2.91-2.98, 2 Tm 2.98
Au (0.6573, 0.0064, 0.6791)  5 Au 2.91-3.09, 2 Mg 2.91, 3 Tm 2.98-3.01
Mg (0.0000, 0.0000, 0.0000)  10 Au 2.89-3.03
Tm (0.5000, 0.5000, 0.5000)  10 Au 2.98-3.01

*B* is preferred energetically. Next in line: 0.052 eV/atom higher.

*A*
Tm2Mg3Au4: relaxed, GGA-PBE.

Properties
**Density of states at the Fermi level**: 5.757 states/eV per cell
**V**: 187 Å³ per cell
**Calculated density**: 10.65 g cm⁻³
**Symmetry**: C2/m, No. 12
**Total moment**: 0.00 μB per formula unit

Lattice parameters (Å, degrees): 4.7186 4.7585 9.5888 89.34 89.99 60.28
Last column: nearest neighbours and their distance in Å.
Fractional positions:
Tm (0.6683, 0.6632, 0.2164)  7 Au 2.94-3.05
Tm (0.3317, 0.3368, 0.7836)  7 Au 2.94-3.05
Mg (0.0000, 0.0000, 0.0000)  6 Au 2.87-2.89
Mg (0.6634, 0.6735, 0.5795)  3 Au 2.81-2.82, 1 Mg 3.08
Mg (0.3366, 0.3265, 0.4205)  3 Au 2.81-2.82, 1 Mg 3.08
Au (0.6652, 0.6697, 0.9093)  4 Mg 2.87-3.16, 4 Tm 2.94-2.99
Au (0.0050, 0.9897, 0.3513)  3 Mg 2.81-2.82, 1 Au 2.85, 3 Tm 3.02-3.05
Au (0.9950, 0.0103, 0.6487)  3 Mg 2.81-2.82, 1 Au 2.85, 3 Tm 3.02-3.05
Au (0.3348, 0.3303, 0.0907)  4 Mg 2.87-3.16, 4 Tm 2.94-2.99

*B*
Tm2Mg3Au4: relaxed, GGA-PBE.

Properties
**Density of states at the Fermi level**: 9.449 states/eV per cell
**V**: 378 Å³ per cell
**Calculated density**: 10.54 g cm⁻³
**Symmetry**: Cmce, No. 64
**Total moment**: 0.00 μB per formula unit

Lattice parameters (Å, degrees): 5.9812 7.7508 8.6770 90.00 110.16 90.00
Last column: nearest neighbours and their distance in Å.
Fractional positions:
Mg (0.4758, 0.2500, 0.4517)  5 Au 2.75-2.87, 2 Mg 2.99
Mg (0.5000, 0.5000, 0.0000)  6 Au 2.62-2.81
Mg (0.0000, 0.0000, 0.0000)  6 Au 2.62-2.81
Mg (0.9758, 0.2500, 0.4517)  5 Au 2.75-2.87, 2 Mg 2.99
Mg (0.5242, 0.7500, 0.5483)  5 Au 2.75-2.87, 2 Mg 2.99
Mg (0.0242, 0.7500, 0.5483)  5 Au 2.75-2.87, 2 Mg 2.99
Tm (0.8999, 0.4031, 0.7999)  7 Au 3.02-3.23
Tm (0.3999, 0.0969, 0.7999)  7 Au 3.02-3.23
Tm (0.6001, 0.9031, 0.2001)  7 Au 3.02-3.23
Tm (0.1001, 0.5969, 0.2001)  7 Au 3.02-3.23
Au (0.8067, 0.2500, 0.1135)  3 Mg 2.62-2.76
Au (0.6713, 0.5441, 0.3427)  5 Mg 2.75-2.87, 1 Tm 3.02
Au (0.1933, 0.7500, 0.8865)  3 Mg 2.62-2.76
Au (0.1713, 0.9559, 0.3427)  5 Mg 2.75-2.87, 1 Tm 3.02
Au (0.3287, 0.4559, 0.6573)  5 Mg 2.75-2.87, 1 Tm 3.02
Au (0.6933, 0.7500, 0.8865)  3 Mg 2.62-2.76
Au (0.8287, 0.0441, 0.6573)  5 Mg 2.75-2.87, 1 Tm 3.02
Au (0.3067, 0.2500, 0.1135)  3 Mg 2.62-2.76

*A* is preferred energetically. Next in line: 0.032 eV/atom higher.

*A*
YTmMgAu: relaxed, GGA-PBE.

Properties
**Density of states at the Fermi level**: 4.277 states/eV per cell
**V**: 98 Å³ per cell
**Calculated density**: 8.16 g cm⁻³
**Symmetry**: F-43m, No. 216
**Total moment**: 0.00 μB per formula unit

Lattice parameters (Å, degrees): 5.1665 5.1665 5.1665 60.00 60.00 60.00
Last column: nearest neighbours and their distance in Å.
Fractional positions:
Mg (0.0000, 0.0000, 0.0000)  4 Y 3.16, 4 Tm 3.16
Y (0.7500, 0.7500, 0.7500)  4 Mg 3.16, 4 Au 3.16
Tm (0.2500, 0.2500, 0.2500)  4 Mg 3.16, 4 Au 3.16
Au (0.5000, 0.5000, 0.5000)  4 Tm 3.16, 4 Y 3.16

*B*
YTmMgAu: relaxed, GGA-PBE.

Properties
**Density of states at the Fermi level**: 3.368 states/eV per cell
**V**: 98 Å³ per cell
**Calculated density**: 8.09 g cm⁻³
**Symmetry**: P4mm, No. 99
**Total moment**: 0.00 μB per formula unit

Lattice parameters (Å, degrees): 3.6853 3.6853 7.2438 90.00 90.00 90.00
Last column: nearest neighbours and their distance in Å.
Fractional positions:
Mg (0.5000, 0.5000, 0.1000)  4 Tm 3.22, 4 Y 3.26, 1 Au 3.48
Au (0.5000, 0.5000, 0.6192)  4 Tm 3.05, 4 Y 3.17
Y (0.0000, 0.0000, 0.3697)  4 Au 3.17, 4 Mg 3.26, 1 Tm 3.40
Tm (0.0000, 0.0000, 0.8391)  4 Au 3.05, 4 Mg 3.22, 1 Y 3.40

*B* is preferred energetically. Next in line: 0.059 eV/atom higher.

*A*
Mg3WAu: relaxed, GGA-PBE.

Properties
**Density of states at the Fermi level**: 2.874 states/eV per cell
**V**: 124 Å³ per cell
**Calculated density**: 6.10 g cm⁻³
**Symmetry**: Pm-3m, No. 221
**Total moment**: 3.96 μB per formula unit

Lattice parameters (Å, degrees): 4.9803 4.9803 4.9803 90.00 90.00 90.00
Last column: nearest neighbours and their distance in Å.
Fractional positions:
Mg (0.5000, 0.0000, 0.0000)  2 Au 2.49
Mg (0.0000, 0.5000, 0.0000)  2 Au 2.49
Mg (0.0000, 0.0000, 0.5000)  2 Au 2.49
Au (0.0000, 0.0000, 0.0000)  6 Mg 2.49
W (0.5000, 0.5000, 0.5000)  12 Mg 3.52

*B*
Mg3WAu: relaxed, GGA-PBE.

Properties
**Density of states at the Fermi level**: 3.817 states/eV per cell
**V**: 146 Å³ per cell
**Calculated density**: 5.15 g cm⁻³
**Symmetry**: Pm-3m, No. 221
**Total moment**: 3.22 μB per formula unit

Lattice parameters (Å, degrees): 5.2675 5.2675 5.2675 90.00 90.00 90.00
Last column: nearest neighbours and their distance in Å.
Fractional positions:
Au (0.5000, 0.5000, 0.5000)  12 Mg 3.72
Mg (0.0000, 0.5000, 0.0000)  2 W 2.63
Mg (0.5000, 0.0000, 0.0000)  2 W 2.63
Mg (0.0000, 0.0000, 0.5000)  2 W 2.63
W (0.0000, 0.0000, 0.0000)  6 Mg 2.63

*A* is preferred energetically. Next in line: 0.445 eV/atom higher.

*A*
YMgAu3: relaxed, GGA-PBE.

Properties
**Density of states at the Fermi level**: 2.882 states/eV per cell
**V**: 117 Å³ per cell
**Calculated density**: 10.00 g cm⁻³
**Symmetry**: Pm-3m, No. 221
**Total moment**: 0.00 μB per formula unit

Lattice parameters (Å, degrees): 4.8904 4.8904 4.8904 90.00 90.00 90.00
Last column: nearest neighbours and their distance in Å.
Fractional positions:
Y (0.5000, 0.5000, 0.5000)  12 Au 3.46
Au (0.0000, 0.0000, 0.5000)  2 Mg 2.45
Au (0.5000, 0.0000, 0.0000)  2 Mg 2.45
Au (0.0000, 0.5000, 0.0000)  2 Mg 2.45
Mg (0.0000, 0.0000, 0.0000)  6 Au 2.45

*B*
YMgAu3: relaxed, GGA-PBE.

Properties
**Density of states at the Fermi level**: 1.979 states/eV per cell
**V**: 158 Å³ per cell
**Calculated density**: 7.38 g cm⁻³
**Symmetry**: Pm-3m, No. 221
**Total moment**: 0.00 μB per formula unit

Lattice parameters (Å, degrees): 5.4109 5.4109 5.4109 90.00 90.00 90.00
Last column: nearest neighbours and their distance in Å.
Fractional positions:
Au (0.0000, 0.5000, 0.0000)  2 Y 2.71
Au (0.0000, 0.0000, 0.5000)  2 Y 2.71
Au (0.5000, 0.0000, 0.0000)  2 Y 2.71
Y (0.0000, 0.0000, 0.0000)  6 Au 2.71
Mg (0.5000, 0.5000, 0.5000)  12 Au 3.83

*A* is preferred energetically. Next in line: 0.446 eV/atom higher.

*A*
Y2Mg3Au4: relaxed, GGA-PBE.

Properties
**Density of states at the Fermi level**: 10.971 states/eV per cell
**V**: 385 Å³ per cell
**Calculated density**: 8.97 g cm⁻³
**Symmetry**: Cmce, No. 64
**Total moment**: 0.00 μB per formula unit

Lattice parameters (Å, degrees): 6.0143 7.9298 8.6057 90.00 110.45 90.00
Last column: nearest neighbours and their distance in Å.
Fractional positions:
Au (0.8032, 0.2500, 0.1063)  3 Mg 2.63-2.73
Au (0.3032, 0.2500, 0.1063)  3 Mg 2.63-2.73
Au (0.1968, 0.7500, 0.8937)  3 Mg 2.63-2.73
Au (0.8236, 0.0425, 0.6472)  5 Mg 2.76-2.86
Au (0.3236, 0.4575, 0.6472)  5 Mg 2.76-2.86
Au (0.6764, 0.5425, 0.3528)  5 Mg 2.76-2.86
Au (0.6968, 0.7500, 0.8937)  3 Mg 2.63-2.73
Au (0.1764, 0.9575, 0.3528)  5 Mg 2.76-2.86
Y (0.1040, 0.5947, 0.2079)  7 Au 3.11-3.25, 2 Mg 3.41
Y (0.3960, 0.0947, 0.7921)  7 Au 3.11-3.25, 2 Mg 3.41
Y (0.6040, 0.9053, 0.2079)  7 Au 3.11-3.25, 2 Mg 3.41
Y (0.8960, 0.4053, 0.7921)  7 Au 3.11-3.25, 2 Mg 3.41
Mg (0.5275, 0.7500, 0.5549)  5 Au 2.73-2.86, 2 Mg 3.01
Mg (0.9725, 0.2500, 0.4451)  5 Au 2.73-2.86, 2 Mg 3.01
Mg (0.5000, 0.5000, 0.0000)  6 Au 2.63-2.86
Mg (0.4725, 0.2500, 0.4451)  5 Au 2.73-2.86, 2 Mg 3.01
Mg (0.0275, 0.7500, 0.5549)  5 Au 2.73-2.86, 2 Mg 3.01
Mg (0.0000, 0.0000, 0.0000)  6 Au 2.63-2.86

*B*
Y2Mg3Au4: relaxed, GGA-PBE.

Properties
**Density of states at the Fermi level**: 4.796 states/eV per cell
**V**: 193 Å³ per cell
**Calculated density**: 8.95 g cm⁻³
**Symmetry**: P-1, No. 2
**Total moment**: 0.00 μB per formula unit

Lattice parameters (Å, degrees): 4.7313 4.7471 9.9099 89.85 90.12 60.01
Last column: nearest neighbours and their distance in Å.
Fractional positions:
Au (0.0044, 0.9954, 0.3575)  3 Mg 2.81-2.82, 1 Au 2.82, 3 Y 3.06-3.07
Au (0.9956, 0.0046, 0.6425)  3 Mg 2.81-2.82, 1 Au 2.82, 3 Y 3.06-3.07
Au (0.6653, 0.6680, 0.9169)  3 Mg 2.85-2.86, 4 Y 2.98-3.05, 1 Au 3.19
Au (0.3347, 0.3320, 0.0831)  3 Mg 2.85-2.86, 4 Y 2.98-3.05, 1 Au 3.19
Y (0.6684, 0.6648, 0.2180)  7 Au 2.98-3.07
Y (0.3316, 0.3352, 0.7820)  7 Au 2.98-3.07
Mg (0.0000, 0.0000, 0.0000)  6 Au 2.85-2.86
Mg (0.3364, 0.3302, 0.4232)  3 Au 2.81-2.82, 2 Mg 3.11-3.13
Mg (0.6636, 0.6698, 0.5768)  3 Au 2.81-2.82, 2 Mg 3.11-3.13

*B* is preferred energetically. Next in line: 0.017 eV/atom higher.